[1]
DFT (GGA-PBE) results for a geometry-optimized SrPm2S4 structure.

N(E_F) ... 0.000 states/eV per atom
Space group ... I4_1/amd, No. 141
Excess energy over the best structure of this formula in the dataset ... 0.33 eV per formula unit
Raw formation energy ... -2.0457 eV per atom

Unit cell a=8.447 b=8.447 c=8.451 alpha=119.97 beta=119.97 gamma=90.01
Element x y z (fractional)
S1 0.862 0.138 0.277
S2 0.415 0.138 0.277
S3 0.388 0.165 0.777
S4 0.388 0.612 0.223
S5 0.862 0.585 0.723
S6 0.861 0.138 0.723
S7 0.835 0.612 0.223
S8 0.389 0.612 0.777
Pm1 0.125 0.375 0.750
Pm2 0.625 0.375 0.750
Pm3 0.625 0.875 0.250
Pm4 0.625 0.375 0.250
Sr1 0.000 0.000 0.000
Sr2 0.250 0.750 0.500

=====

[2]
DFT (GGA-PBE) results for a geometry-optimized Li7Cd2Pd2 structure.

N(E_F) ... 0.369 states/eV per atom
Space group ... C2/m, No. 12
Calculated formation energy ... -0.23 eV per atom
Excess energy over the best structure of this formula in the dataset ... 0.31 eV per formula unit

Unit cell a=4.718 b=6.416 c=6.416 alpha=80.72 beta=102.07 gamma=102.07
Element x y z (fractional)
Li1 0.718 0.459 0.459
Li2 0.277 0.961 0.593
Li3 0.500 0.000 0.000
Li4 0.723 0.039 0.407
Li5 0.277 0.593 0.961
Li6 0.723 0.407 0.039
Li7 0.282 0.541 0.541
Pd1 0.211 0.243 0.243
Pd2 0.789 0.757 0.757
Cd1 0.000 0.195 0.805
Cd2 0.000 0.805 0.195

=====

[3]
DFT (GGA-PBE) results for a geometry-optimized Ir2PdRh structure.

N(E_F) ... 1.423 states/eV per atom
Space group ... R-3m, No. 166
Calculated formation energy ... 0.05 eV per atom
Excess energy over the best structure of this formula in the dataset ... 0.00 eV per formula unit

Unit cell a=2.745 b=2.745 c=9.086 alpha=81.31 beta=81.31 gamma=60.00
Element x y z (fractional)
Pd1 0.500 0.500 0.500
Ir1 0.748 0.748 0.755
Ir2 0.252 0.252 0.245
Rh1 0.000 0.000 0.000

=====

[4]
DFT (GGA-PBE) results for a geometry-optimized Ag2C2O5 structure.

N(E_F) ... 0.064 states/eV per atom
Space group ... C2/m, No. 12
Excess energy over the best structure of this formula in the dataset ... 1.68 eV per formula unit
Raw formation energy ... -0.6593 eV per atom

Unit cell a=3.879 b=4.713 c=7.314 alpha=93.20 beta=90.00 gamma=114.30
Element x y z (fractional)
C1 0.923 0.846 0.157
C2 0.077 0.154 0.843
Ag1 0.647 0.294 0.405
Ag2 0.353 0.706 0.595
O1 0.778 0.556 0.143
O2 0.222 0.444 0.857
O3 0.007 0.015 0.309
O4 0.993 0.985 0.691
O5 0.000 0.000 0.000

=====

[5]
DFT (GGA-PBE) results for a geometry-optimized ThBiPtO6 structure.

N(E_F) ... 0.773 states/eV per atom
Space group ... P-31c, No. 163
Raw formation energy ... -1.6497 eV per atom

Unit cell a=5.654 b=5.654 c=9.682 alpha=90.00 beta=90.00 gamma=120.00
Element x y z (fractional)
O1 0.963 0.329 0.132
O2 0.634 0.963 0.868
O3 0.329 0.963 0.632
O4 0.329 0.366 0.868
O5 0.963 0.634 0.368
O6 0.671 0.634 0.132
O7 0.037 0.671 0.868
O8 0.037 0.366 0.632
O9 0.671 0.037 0.368
O10 0.634 0.671 0.632
O11 0.366 0.329 0.368
O12 0.366 0.037 0.132
Th1 0.333 0.667 0.250
Th2 0.667 0.333 0.750
Pt1 0.333 0.667 0.750
Pt2 0.667 0.333 0.250
Bi1 0.000 0.000 0.500
Bi2 0.000 0.000 0.000

=====

[6]
DFT (GGA-PBE) results for a geometry-optimized Hf2ScZn structure.

N(E_F) ... 1.257 states/eV per atom
Space group ... P4/mmm, No. 123
Calculated formation energy ... -0.03 eV per atom

Unit cell a=4.378 b=4.303 c=4.303 alpha=90.00 beta=90.00 gamma=90.00
Element x y z (fractional)
Hf1 0.000 0.000 0.500
Hf2 0.000 0.500 0.000
Sc1 0.500 0.000 0.000
Zn1 0.500 0.500 0.500

=====

[7]
DFT (GGA-PBE) results for a geometry-optimized NaTl2Pd2 structure.

N(E_F) ... 0.481 states/eV per atom
Space group ... I4/mmm, No. 139
Calculated formation energy ... -0.09 eV per atom
Excess energy over the best structure of this formula in the dataset ... 0.53 eV per formula unit

Unit cell a=5.208 b=5.208 c=5.790 alpha=63.27 beta=63.27 gamma=90.00
Element x y z (fractional)
Na1 0.000 0.000 0.000
Tl1 0.250 0.750 0.500
Tl2 0.750 0.250 0.500
Pd1 0.352 0.352 0.297
Pd2 0.648 0.648 0.703

=====

[8]
DFT (GGA-PBE) results for a geometry-optimized MgBe2Fe structure.

N(E_F) ... 1.125 states/eV per atom
Space group ... F-43m, No. 216
Calculated formation energy ... 0.35 eV per atom

Unit cell a=3.996 b=3.996 c=3.996 alpha=60.00 beta=60.00 gamma=60.00
Each line ends with the local moment (μB).
Element x y z (fractional)
Mg1 0.750 0.750 0.750  -0.01
Fe1 0.500 0.500 0.500  1.26
Be1 0.250 0.250 0.250  -0.03
Be2 0.000 0.000 0.000  -0.03

=====

Copy entry 2 word for word.
DFT (GGA-PBE) results for a geometry-optimized Li7Cd2Pd2 structure.

N(E_F) ... 0.369 states/eV per atom
Space group ... C2/m, No. 12
Calculated formation energy ... -0.23 eV per atom
Excess energy over the best structure of this formula in the dataset ... 0.31 eV per formula unit

Unit cell a=4.718 b=6.416 c=6.416 alpha=80.72 beta=102.07 gamma=102.07
Element x y z (fractional)
Li1 0.718 0.459 0.459
Li2 0.277 0.961 0.593
Li3 0.500 0.000 0.000
Li4 0.723 0.039 0.407
Li5 0.277 0.593 0.961
Li6 0.723 0.407 0.039
Li7 0.282 0.541 0.541
Pd1 0.211 0.243 0.243
Pd2 0.789 0.757 0.757
Cd1 0.000 0.195 0.805
Cd2 0.000 0.805 0.195

=====

- Among the records above, which one has the lowest N(E_F)?
  SrPm2S4